Below is a relaxed SmTlTe crystal, with properties calculated at the GGA-PBE level.

Calculated values
total moment	0.1	Bohr magnetons per cell
polymorph energy (0 for the lowest one)	74	meV/atom

a = 7.4204 Å, b = 7.4204 Å, c = 7.4204 Å
α = 90.00°, β = 90.00°, γ = 90.00°
Space group F-43m (No. 216)
Symmetry-distinct sites (fractional):
Sm 0.0000 0.0000 0.0000 [4 per cell]
Tl 0.2500 0.2500 0.2500 [4 per cell]
Te 0.2500 0.2500 0.7500 [4 per cell]

=====

Below is a relaxed BaBi12Ir4 crystal, with properties calculated at the GGA-PBE level.

Calculated values
total moment	0.0	Bohr magnetons per cell
calculated total energy	-5.1997	eV per atom

a = 9.9001 Å, b = 9.9001 Å, c = 9.9001 Å
α = 90.00°, β = 90.00°, γ = 90.00°
Space group Im-3 (No. 204)
Symmetry-distinct sites (fractional):
Ba 0.0000 0.0000 0.0000 [2 per cell]
Bi 0.0000 0.3383 0.1599 [24 per cell]
Ir 0.2500 0.2500 0.2500 [8 per cell]

=====

Below is a relaxed KHgPd crystal, with properties calculated at the GGA-PBE level.

Calculated values
polymorph energy (0 for the lowest one)	438	meV/atom

a = 7.3862 Å, b = 7.3862 Å, c = 7.3862 Å
α = 90.00°, β = 90.00°, γ = 90.00°
Space group F-43m (No. 216)
Symmetry-distinct sites (fractional):
K 0.0000 0.0000 0.0000 [4 per cell]
Hg 0.2500 0.2500 0.7500 [4 per cell]
Pd 0.2500 0.2500 0.2500 [4 per cell]

=====

Below is a relaxed KSmSnTe3 crystal, with properties calculated at the GGA-PBE level.

Calculated values
total moment	0.0	Bohr magnetons per cell
polymorph energy (0 for the lowest one)	155	meV/atom

a = 4.7755 Å, b = 15.8886 Å, c = 12.4267 Å
α = 90.00°, β = 90.00°, γ = 90.00°
Space group Cmcm (No. 63)
Symmetry-distinct sites (fractional):
K 0.0000 0.2466 0.2500 [4 per cell]
Sm 0.0000 0.0000 0.0000 [4 per cell]
Sn 0.0000 0.4627 0.7500 [4 per cell]
Te 0.0000 0.0771 0.7500 [4 per cell]
Te 0.0000 0.3673 0.5367 [8 per cell]

=====

Below is a relaxed ScInPtSe3 crystal, with properties calculated at the GGA-PBE level.

Calculated values
total moment	0.0	Bohr magnetons per cell
calculated total energy	-5.0445	eV per atom

a = 3.7670 Å, b = 14.6411 Å, c = 9.9721 Å
α = 90.00°, β = 90.00°, γ = 90.00°
Space group Cmcm (No. 63)
Symmetry-distinct sites (fractional):
Sc 0.0000 0.0000 0.0000 [4 per cell]
In 0.0000 0.2327 0.2500 [4 per cell]
Pt 0.0000 0.4804 0.7500 [4 per cell]
Se 0.0000 0.0910 0.7500 [4 per cell]
Se 0.0000 0.3669 0.5583 [8 per cell]

=====

Below is a relaxed Li4MgCdIn2 crystal, with properties calculated at the GGA-PBE level.

Calculated values
calculated total energy	-2.2076	eV per atom

a = 4.7508 Å, b = 4.7508 Å, c = 6.6894 Å
α = 90.00°, β = 90.00°, γ = 90.00°
Space group P-4m2 (No. 115)
Symmetry-distinct sites (fractional):
Li 0.0000 0.0000 0.0000 [1 per cell]
Li 0.0000 0.5000 0.2399 [2 per cell]
Li 0.5000 0.5000 0.5000 [1 per cell]
Mg 0.0000 0.0000 0.5000 [1 per cell]
Cd 0.5000 0.5000 0.0000 [1 per cell]
In 0.0000 0.5000 0.7482 [2 per cell]

=====

Below is a relaxed Zr3Ta crystal, with properties calculated at the GGA-PBE level.

Calculated values
total moment	0.0	Bohr magnetons per cell
polymorph energy (0 for the lowest one)	0	meV/atom
formation enthalpy at 0 K	0.102	eV per atom

a = 4.8098 Å, b = 7.0778 Å, c = 5.1049 Å
α = 90.00°, β = 90.00°, γ = 90.00°
Space group Pmmn (No. 59, origin choice 2)
Symmetry-distinct sites (fractional):
Zr 0.2500 0.0014 0.2092 [4 per cell]
Zr 0.2500 0.2500 0.6824 [2 per cell]
Ta 0.2500 0.7500 0.7029 [2 per cell]

=====

Below is a relaxed RbErTeO crystal, with properties calculated at the GGA-PBE level.

Calculated values
total moment	0.0	Bohr magnetons per cell
polymorph energy (0 for the lowest one)	147	meV/atom

a = 4.7873 Å, b = 8.6828 Å, c = 6.9543 Å
α = 90.00°, β = 90.00°, γ = 90.00°
Space group Pmc2_1 (No. 26)
Symmetry-distinct sites (fractional):
Rb 0.0000 0.2153 0.0000 [2 per cell]
Er 0.5000 0.3954 0.4047 [2 per cell]
Te 0.0000 0.2091 0.5040 [2 per cell]
O 0.5000 0.4252 0.1047 [2 per cell]

=====

Below is a relaxed Nb2Zn3W4N3 crystal, with properties calculated at the GGA-PBE level.

Calculated values
total moment	0.0	Bohr magnetons per cell
calculated total energy	-8.5474	eV per atom

a = 8.7242 Å, b = 5.0407 Å, c = 14.6880 Å
α = 90.00°, β = 101.42°, γ = 90.00°
Space group C2/c (No. 15)
Symmetry-distinct sites (fractional):
Nb 0.0494 0.0825 0.3984 [8 per cell]
Zn 0.0000 0.2940 0.7500 [4 per cell]
Zn 0.1870 0.2678 0.2500 [8 per cell]
W 0.1145 0.4172 0.5937 [8 per cell]
W 0.2190 0.4174 0.9063 [8 per cell]
N 0.0827 0.2481 0.0000 [8 per cell]
N 0.2500 0.2500 0.5000 [4 per cell]

=====

Below is a relaxed PmZnAg crystal, with properties calculated at the GGA-PBE level.

Calculated values
total moment	0.0	Bohr magnetons per cell
polymorph energy (0 for the lowest one)	0	meV/atom
formation enthalpy at 0 K	-0.334	eV per atom

a = 4.7190 Å, b = 4.7190 Å, c = 3.4678 Å
α = 90.00°, β = 90.00°, γ = 120.00°
Space group P-6m2 (No. 187)
Symmetry-distinct sites (fractional):
Pm 0.0000 0.0000 0.0000 [1 per cell]
Zn 0.6667 0.3333 0.5000 [1 per cell]
Ag 0.3333 0.6667 0.5000 [1 per cell]

=====

Below is a relaxed SrHoCuTeS2 crystal, with properties calculated at the GGA-PBE level.

Calculated values
total moment	0.0	Bohr magnetons per cell
calculated total energy	-5.0562	eV per atom

a = 3.9955 Å, b = 14.1794 Å, c = 10.8395 Å
α = 90.00°, β = 90.00°, γ = 90.00°
Space group Cmcm (No. 63)
Symmetry-distinct sites (fractional):
Sr 0.0000 0.2127 0.2500 [4 per cell]
Ho 0.0000 0.0000 0.0000 [4 per cell]
Cu 0.0000 0.4778 0.7500 [4 per cell]
Te 0.0000 0.1000 0.7500 [4 per cell]
S 0.0000 0.3805 0.5774 [8 per cell]

=====

Below is a relaxed BeAlTc crystal, with properties calculated at the GGA-PBE level.

Calculated values
total moment	2.7	Bohr magnetons per cell
polymorph energy (0 for the lowest one)	16	meV/atom

a = 5.6863 Å, b = 5.6863 Å, c = 5.6863 Å
α = 90.00°, β = 90.00°, γ = 90.00°
Space group F-43m (No. 216)
Symmetry-distinct sites (fractional):
Be 0.0000 0.0000 0.0000 [4 per cell]
Al 0.0000 0.0000 0.5000 [4 per cell]
Tc 0.2500 0.2500 0.7500 [4 per cell]